1.
# Pr12Sm3Tl

A geometry-optimized Pr12Sm3Tl structure (PBE-GGA, Alexandria via LeMat-Bulk).

The calculation puts the density of states at the Fermi level at 22.82 states/eV/cell. The calculation puts the density at 7.01 g cm⁻³. Its total energy is -4.651 eV/atom.

It has space group P4/mmm (No. 123), with a = 5.1468 Å, b = 5.1468 Å, c = 20.9727 Å, α = 90.00°, β = 90.00° and γ = 90.00°. The distinct sites, in fractional coordinates, are Pr at (0.0000, 0.0000, 0.0000), Pr at (0.0000, 0.0000, 0.2461), Pr at (0.0000, 0.0000, 0.5000), Pr at (0.0000, 0.5000, 0.1207), Pr at (0.0000, 0.5000, 0.3734), Sm at (0.5000, 0.5000, 0.2476), Sm at (0.5000, 0.5000, 0.5000) and Tl at (0.5000, 0.5000, 0.0000).



2.
# Pr7SmTl2

A geometry-optimized Pr7SmTl2 structure (PBE-GGA, Alexandria via LeMat-Bulk).

The calculation puts the density of states at the Fermi level at 38.22 states/eV/cell. The calculation puts the density at 6.11 g cm⁻³. Its total energy is -3.974 eV/atom.

It has space group Cmmm (No. 65), with a = 9.4624 Å, b = 16.1874 Å, c = 5.4818 Å, α = 90.00°, β = 90.00° and γ = 90.00°. The distinct sites, in fractional coordinates, are Pr at (0.0000, 0.0000, 0.0000), Pr at (0.0000, 0.2761, 0.5000), Pr at (0.1818, 0.3802, 0.0000), Sm at (0.0000, 0.5000, 0.5000) and Tl at (0.0000, 0.1939, 0.0000).



3.
# Pr2Sm7Tl2

A geometry-optimized Pr2Sm7Tl2 structure (PBE-GGA, Alexandria via LeMat-Bulk).

The calculation puts the density of states at the Fermi level at 28.11 states/eV/cell. The calculation puts the density at 7.73 g cm⁻³. Its total energy is -4.327 eV/atom.

It has space group Imm2 (No. 44), with a = 3.7099 Å, b = 20.2153 Å, c = 9.9835 Å, α = 90.00°, β = 90.00° and γ = 90.00°. The distinct sites, in fractional coordinates, are Pr at (0.0000, 0.0000, 0.0000), Pr at (0.0000, 0.5000, 0.1461), Sm at (0.0000, 0.1381, 0.5112), Sm at (0.0000, 0.1629, 0.1396), Sm at (0.0000, 0.3701, 0.3355), Sm at (0.0000, 0.5000, 0.8107) and Tl at (0.0000, 0.2550, 0.8482).



4.
# Pr8SmTl2

A geometry-optimized Pr8SmTl2 structure (PBE-GGA, Alexandria via LeMat-Bulk).

The calculation puts the density of states at the Fermi level at 29.16 states/eV/cell. The calculation puts the density at 7.30 g cm⁻³. Its total energy is -4.373 eV/atom.

It has space group C2/m (No. 12), with a = 9.1123 Å, b = 15.6529 Å, c = 5.9645 Å, α = 90.00°, β = 115.58° and γ = 90.00°. The distinct sites, in fractional coordinates, are Pr at (0.0000, 0.2204, 0.0000), Pr at (0.0964, 0.5000, 0.7961), Pr at (0.2057, 0.1133, 0.6155), Sm at (0.0000, 0.0000, 0.0000) and Tl at (0.0000, 0.3053, 0.5000).



5.
# PrSm2TmTl4

A geometry-optimized PrSm2TmTl4 structure (PBE-GGA, Alexandria via LeMat-Bulk).

The calculation puts the density of states at the Fermi level at 19.50 states/eV/cell. The calculation puts the density at 10.32 g cm⁻³. Its total energy is -3.874 eV/atom.

It has space group R-3m (No. 166, hexagonal axes), with a = 5.4481 Å, b = 5.4481 Å, c = 26.8233 Å, α = 90.00°, β = 90.00° and γ = 120.00°. The distinct sites, in fractional coordinates, are Pr at (0.0000, 0.0000, 0.0000), Sm at (0.0000, 0.0000, 0.2489), Tm at (0.0000, 0.0000, 0.5000), Tl at (0.0000, 0.0000, 0.1269) and Tl at (0.0000, 0.0000, 0.3772).



6.
# Pr6Sm2Tm3Tl

A geometry-optimized Pr6Sm2Tm3Tl structure (PBE-GGA, Alexandria via LeMat-Bulk).

The calculation puts the density of states at the Fermi level at 25.67 states/eV/cell. The calculation puts the density at 7.81 g cm⁻³. Its total energy is -4.509 eV/atom.

It has space group C2/m (No. 12), with a = 6.2309 Å, b = 10.8184 Å, c = 11.9087 Å, α = 90.00°, β = 100.12° and γ = 90.00°. The distinct sites, in fractional coordinates, are Pr at (0.2429, 0.0000, 0.2469), Pr at (0.2476, 0.1636, 0.7522), Sm at (0.0000, 0.3336, 0.5000), Tm at (0.0000, 0.1672, 0.0000), Tm at (0.0000, 0.5000, 0.0000) and Tl at (0.0000, 0.0000, 0.5000).



7.
# PrSmYTl

A geometry-optimized PrSmYTl structure (PBE-GGA, Alexandria via LeMat-Bulk).

The calculation puts the density of states at the Fermi level at 5.82 states/eV/cell. The calculation puts the density at 8.01 g cm⁻³. Its total energy is -4.782 eV/atom.

It has space group Pmmm (No. 47), with a = 4.8791 Å, b = 4.9061 Å, c = 5.0628 Å, α = 90.00°, β = 90.00° and γ = 90.00°. The distinct sites, in fractional coordinates, are Pr at (0.0000, 0.0000, 0.0000), Sm at (0.5000, 0.5000, 0.0000), Y at (0.5000, 0.0000, 0.5000) and Tl at (0.0000, 0.5000, 0.5000).



8.
# Pr6Sm3Y2Tl

A geometry-optimized Pr6Sm3Y2Tl structure (PBE-GGA, Alexandria via LeMat-Bulk).

The calculation puts the density of states at the Fermi level at 31.51 states/eV/cell. The calculation puts the density at 6.88 g cm⁻³. Its total energy is -4.854 eV/atom.

It has space group C2/m (No. 12), with a = 6.2823 Å, b = 10.9410 Å, c = 11.9795 Å, α = 90.00°, β = 100.41° and γ = 90.00°. The distinct sites, in fractional coordinates, are Pr at (0.2440, 0.1633, 0.2458), Pr at (0.2452, 0.0000, 0.7517), Sm at (0.0000, 0.1687, 0.5000), Sm at (0.0000, 0.5000, 0.5000), Y at (0.0000, 0.3342, 0.0000) and Tl at (0.0000, 0.0000, 0.0000).



9.
# PrSmYTl

A geometry-optimized PrSmYTl structure (PBE-GGA, Alexandria via LeMat-Bulk).

The calculation puts the density of states at the Fermi level at 21.89 states/eV/cell. The calculation puts the density at 7.84 g cm⁻³. Its total energy is -4.635 eV/atom.

It has space group F-43m (No. 216), with a = 7.9129 Å, b = 7.9129 Å, c = 7.9129 Å, α = 90.00°, β = 90.00° and γ = 90.00°. The distinct sites, in fractional coordinates, are Pr at (0.0000, 0.0000, 0.0000), Sm at (0.0000, 0.0000, 0.5000), Y at (0.2500, 0.2500, 0.7500) and Tl at (0.2500, 0.2500, 0.2500).



10.
# Pr3SmTm3

A geometry-optimized Pr3SmTm3 structure (PBE-GGA, Alexandria via LeMat-Bulk).

The calculation puts the density of states at the Fermi level at 54.69 states/eV/cell. The calculation puts the density at 7.53 g cm⁻³. Its total energy is -4.506 eV/atom.

It has space group R-3 (No. 148, hexagonal axes), with a = 9.3930 Å, b = 9.3930 Å, c = 18.6999 Å, α = 90.00°, β = 90.00° and γ = 120.00°. The distinct sites, in fractional coordinates, are Pr at (0.0501, 0.2426, 0.0774), Sm at (0.0000, 0.0000, 0.4085) and Tm at (0.0496, 0.2353, 0.2604).



11.
# Pr6SmTm2

A geometry-optimized Pr6SmTm2 structure (PBE-GGA, Alexandria via LeMat-Bulk).

The calculation puts the density of states at the Fermi level at 50.51 states/eV/cell. The calculation puts the density at 7.15 g cm⁻³. Its total energy is -4.647 eV/atom.

It has space group C2/c (No. 15), with a = 22.1991 Å, b = 9.9740 Å, c = 5.7934 Å, α = 90.00°, β = 105.10° and γ = 90.00°. The distinct sites, in fractional coordinates, are Pr at (0.0856, 0.0822, 0.3347), Pr at (0.0857, 0.4164, 0.3374), Pr at (0.1703, 0.2507, 0.9204), Sm at (0.0000, 0.2506, 0.7500) and Tm at (0.2498, 0.0830, 0.5011).



12.
# Pr5Sm2Tm4

A geometry-optimized Pr5Sm2Tm4 structure (PBE-GGA, Alexandria via LeMat-Bulk).

The calculation puts the density of states at the Fermi level at 33.25 states/eV/cell. The calculation puts the density at 7.25 g cm⁻³. Its total energy is -4.487 eV/atom.

It has space group Immm (No. 71), with a = 3.5480 Å, b = 9.1903 Å, c = 23.6149 Å, α = 90.00°, β = 90.00° and γ = 90.00°. The distinct sites, in fractional coordinates, are Pr at (0.0000, 0.0000, 0.0000), Pr at (0.0000, 0.2993, 0.3559), Sm at (0.0000, 0.5000, 0.2312), Tm at (0.0000, 0.1826, 0.5000) and Tm at (0.0000, 0.5000, 0.0959).



no.,ΔE_f (eV/atom)
1,-0.033
2,0.317
3,-0.024
4,-0.037
5,-0.355
6,-0.017
7,-0.200
8,-0.010
9,-0.053
10,0.133
11,0.058
12,0.170